# K2CdAs, relaxed, DFT PBE-GGA
data_K2CdAs
_symmetry_space_group_name_H-M 'F m -3 m'
_symmetry_Int_Tables_number 225
_symmetry_space_group_name_Hall '-F 4 2 3'
_cell_length_a 8.038
_cell_length_b 8.038
_cell_length_c 8.038
_cell_angle_alpha 90.00
_cell_angle_beta 90.00
_cell_angle_gamma 90.00
loop_
_atom_site_label
_atom_site_fract_x
_atom_site_fract_y
_atom_site_fract_z
_atom_site_occupancy
K1 0.250 0.250 0.250 1
Cd1 0.000 0.000 0.000 1
As1 0.000 0.000 0.500 1
# Final energy ... -2.02 eV per atom
# Mass density ... 3.40 g cm⁻³